# 1
LaDy4Sn4 | PBE | relaxed

Properties
energy of formation: -0.454 eV/atom
D(E_F): 18.26 states/eV per cell
calculated volume: 610.84 Å³ per cell

```
18
Lattice="9.985 0.000 0.000 0.000 9.985 0.000 0.000 0.000 6.127" Properties=species:S:1:pos:R:3 pbc="T T T"
La 2.496 2.496 1.532
La 7.489 7.489 4.595
Dy 1.028 6.418 0.875
Dy 1.425 8.957 3.938
Dy 3.567 6.021 3.938
Dy 3.964 8.560 0.875
Dy 6.021 1.425 5.252
Dy 6.418 3.964 2.188
Dy 8.560 1.028 2.188
Dy 8.957 3.567 5.252
Sn 0.442 6.035 4.012
Sn 1.043 9.543 0.949
Sn 3.950 5.435 0.949
Sn 4.550 8.942 4.012
Sn 5.435 1.043 2.114
Sn 6.035 4.550 5.178
Sn 8.942 0.442 5.178
Sn 9.543 3.950 2.114
```



# 2
LaDySn | PBE | relaxed

Properties
energy of formation: -0.511 eV/atom
energy relative to the lowest polymorph listed for this composition: 2.88 kcal/mol of atoms
D(E_F): 8.45 states/eV per cell
calculated volume: 182.54 Å³ per cell

```
6
Lattice="2.828 -4.740 0.000 2.828 4.740 0.000 0.000 0.000 6.810" Properties=species:S:1:pos:R:3 pbc="T T T"
La 2.828 3.162 5.108
La 2.828 -3.162 1.703
Dy 2.828 0.000 0.000
Dy 2.828 0.000 3.405
Sn 2.828 3.113 1.703
Sn 2.828 -3.113 5.108
```



# 3
La3DySn2 | PBE | relaxed

Properties
energy of formation: -0.152 eV/atom
D(E_F): 8.70 states/eV per cell
calculated volume: 196.07 Å³ per cell

```
6
Lattice="-1.741 2.973 9.467 1.741 -2.973 9.467 1.741 2.973 -9.467" Properties=species:S:1:pos:R:3 pbc="T T T"
La 0.000 0.000 0.000
La 1.741 0.000 6.156
La 0.000 2.973 3.311
Dy 0.000 2.973 0.000
Sn 1.741 0.000 2.942
Sn 0.000 2.973 6.525
```